No. 1
DFT (PBE) results for a relaxed AcY2OsO8 crystal.

abc: 5.1198 7.0544 5.1215
angles: 90.00 91.45 90.00
Last column: nearest neighbours and their distance in Å.
Atoms (fractional coordinates):
1 Ac 0.0000 0.0000 0.0000  6 O 2.36-2.53
2 Y 0.5000 0.2486 0.5000  4 O 2.19-2.27
3 Y 0.5000 0.7514 0.5000  4 O 2.19-2.27
4 Os 0.0000 0.5000 0.0000  6 O 1.90-1.92
5 O 0.1870 0.3048 0.1878  1 Os 1.92
6 O 0.1870 0.6952 0.1878  1 Os 1.92
7 O 0.2596 0.5000 0.7415  1 Os 1.90
8 O 0.3230 0.0000 0.6785  2 Y 2.19, 1 Ac 2.36
9 O 0.6770 0.0000 0.3215  2 Y 2.19, 1 Ac 2.36
10 O 0.7404 0.5000 0.2585  1 Os 1.90
11 O 0.8130 0.3048 0.8122  1 Os 1.92
12 O 0.8130 0.6952 0.8122  1 Os 1.92

energy = -8.14 eV per atom
N(E_F) = 4.29 states/eV/f.u.

No. 2
DFT (PBE) results for a relaxed AcYOsO6 crystal.

abc: 5.8241 5.8241 8.9563
angles: 90.00 90.00 120.00
Last column: nearest neighbours and their distance in Å.
Atoms (fractional coordinates):
1 Ac 0.3333 0.6667 0.2500  6 O 2.50
2 Ac 0.6667 0.3333 0.7500  6 O 2.50
3 Y 0.0000 0.0000 0.0000  6 O 2.32
4 Y 0.0000 0.0000 0.5000  6 O 2.32
5 Os 0.3333 0.6667 0.7500  6 O 1.95
6 Os 0.6667 0.3333 0.2500  6 O 1.95
7 O 0.0717 0.3770 0.6272  1 Os 1.95
8 O 0.0717 0.6947 0.8728  1 Os 1.95
9 O 0.3053 0.3770 0.8728  1 Os 1.95
10 O 0.3053 0.9283 0.6272  1 Os 1.95
11 O 0.3770 0.0717 0.1272  1 Os 1.95
12 O 0.3770 0.3053 0.3728  1 Os 1.95
13 O 0.6230 0.6947 0.6272  1 Os 1.95
14 O 0.6230 0.9283 0.8728  1 Os 1.95
15 O 0.6947 0.0717 0.3728  1 Os 1.95
16 O 0.6947 0.6230 0.1272  1 Os 1.95
17 O 0.9283 0.3053 0.1272  1 Os 1.95
18 O 0.9283 0.6230 0.3728  1 Os 1.95

energy = -8.02 eV per atom
N(E_F) = 3.97 states/eV/f.u.

No. 3
DFT (PBE) results for a relaxed Ac2YOsO8 crystal.

abc: 4.9500 5.4603 7.1564
angles: 90.36 91.67 92.42
Last column: nearest neighbours and their distance in Å.
Atoms (fractional coordinates):
1 Ac 0.0695 0.0299 0.2564  4 O 2.33-2.54
2 Ac 0.9305 0.9701 0.7436  4 O 2.33-2.54
3 Y 0.5000 0.5000 0.0000  4 O 2.19-2.38
4 Os 0.5000 0.5000 0.5000  6 O 1.84-1.99
5 O 0.1756 0.2167 0.9745  1 Y 2.19, 2 Ac 2.33-2.39
6 O 0.1955 0.3046 0.5360  1 Os 1.84
7 O 0.3311 0.6548 0.2839  1 Os 1.95
8 O 0.3890 0.7332 0.6958  1 Os 1.99
9 O 0.6110 0.2668 0.3042  1 Os 1.99
10 O 0.6689 0.3452 0.7161  1 Os 1.95
11 O 0.8045 0.6954 0.4640  1 Os 1.84
12 O 0.8244 0.7833 0.0255  1 Y 2.19, 2 Ac 2.33-2.39

energy = -7.88 eV per atom
N(E_F) = 0.75 states/eV/f.u.

No. 4
DFT (PBE) results for a relaxed Ac2ZnOsO8 crystal.

abc: 4.3745 5.4257 7.4863
angles: 82.84 86.53 83.00
Last column: nearest neighbours and their distance in Å.
Atoms (fractional coordinates):
1 Ac 0.1793 0.0098 0.2382  8 O 2.53-2.82
2 Ac 0.8207 0.9902 0.7618  8 O 2.53-2.82
3 Zn 0.5000 0.5000 0.0000  2 O 1.85
4 Os 0.5000 0.5000 0.5000  6 O 1.87-1.90
5 O 0.2091 0.7677 0.5506  1 Os 1.87
6 O 0.2873 0.2672 0.6468  1 Os 1.87
7 O 0.2873 0.4635 0.2929  1 Os 1.90
8 O 0.2933 0.8176 0.9476  1 Zn 1.85
9 O 0.7067 0.1824 0.0524  1 Zn 1.85
10 O 0.7127 0.5365 0.7071  1 Os 1.90
11 O 0.7127 0.7328 0.3532  1 Os 1.87
12 O 0.7909 0.2323 0.4494  1 Os 1.87

energy = -7.05 eV per atom

Number 1: ΔE_f (raw) -2.484 eV per atom, calculated density 6.493 g/cm3. Number 2: ΔE_f (raw) -2.288 eV per atom, calculated density 7.601 g/cm3. Number 3: ΔE_f (raw) -2.412 eV per atom, calculated density 7.403 g/cm3. Number 4: ΔE_f (raw) -2.019 eV per atom, calculated density 7.957 g/cm3.